First-principles (GGA-PBE) data for Ta5IrRu4 after structural relaxation, as listed in Alexandria.

Cell lengths 3.0177, 3.0177, 17.6959 Å; angles 90.00, 90.00, 90.00 degrees
With the nearest neighbours (Å) after each atom.
Space group P4/mmm (No. 123)
Symmetry-distinct sites (fractional):
Ta 0.0000 0.0000 0.0000 [1 per cell]  8 Ru 2.82, 4 Ta 3.02
Ta 0.0000 0.0000 0.1972 [2 per cell]  8 Ru 2.70, 4 Ta 3.02
Ta 0.0000 0.0000 0.3943 [2 per cell]  4 Ru 2.81, 4 Ir 2.84, 4 Ta 3.02
Ir 0.5000 0.5000 0.5000 [1 per cell]  8 Ta 2.84, 4 Ir 3.02
Ru 0.5000 0.5000 0.1039 [2 per cell]  8 Ta 2.70-2.82, 4 Ru 3.02
Ru 0.5000 0.5000 0.2907 [2 per cell]  8 Ta 2.70-2.81, 4 Ru 3.02

Properties
The size of the total moment comes out at 0.000 Bohr magnetons per cell. As for the density of states at the Fermi level: 0.9966 states/eV/atom. The formation energy comes out at -0.351 eV/atom. Its volume is 161.1 Å³ per cell.